Computed, not measured: CaAsF2 after structural relaxation at the PBE level of DFT.

The structure in CIF format:
```
data_CaAsF2
_symmetry_space_group_name_H-M 'P 1'
_symmetry_Int_Tables_number 1
_symmetry_space_group_name_Hall 'P 1'
_cell_length_a 4.555
_cell_length_b 4.555
_cell_length_c 4.555
_cell_angle_alpha 60.00
_cell_angle_beta 60.00
_cell_angle_gamma 60.00
loop_
_atom_site_label
_atom_site_fract_x
_atom_site_fract_y
_atom_site_fract_z
Ca1 0.000 0.000 0.000
As1 0.500 0.500 0.500
F1 0.250 0.250 0.250
F2 0.750 0.750 0.750
```

Properties
SG: Fm-3m, No. 225
Polymorph energy (0 for the lowest one), eV/f.u.: 3.03
Formation energy without anion corrections, eV/atom: -1.61
Raw total energy, eV/atom: -4.21
Total moment, Bohr magnetons per cell: 2.9
Theoretical density, kg/m3: 3801


Computed, not measured: Ca3As2F after structural relaxation at the PBE level of DFT.

The structure in CIF format:
```
data_Ca3As2F
_symmetry_space_group_name_H-M 'P 1'
_symmetry_Int_Tables_number 1
_symmetry_space_group_name_Hall 'P 1'
_cell_length_a 6.870
_cell_length_b 6.870
_cell_length_c 8.026
_cell_angle_alpha 98.56
_cell_angle_beta 98.56
_cell_angle_gamma 50.22
loop_
_atom_site_label
_atom_site_fract_x
_atom_site_fract_y
_atom_site_fract_z
Ca1 0.101 0.899 0.750
Ca2 0.236 0.435 0.328
Ca3 0.435 0.236 0.828
Ca4 0.565 0.764 0.172
Ca5 0.764 0.565 0.672
Ca6 0.899 0.101 0.250
As1 0.063 0.257 0.020
As2 0.257 0.063 0.520
As3 0.743 0.937 0.480
As4 0.937 0.743 0.980
F1 0.486 0.514 0.750
F2 0.514 0.486 0.250
```

Properties
SG: C2/c, No. 15
Polymorph energy (0 for the lowest one), eV/f.u.: 0.48
Formation energy without anion corrections, eV/atom: -1.70
Raw total energy, eV/atom: -4.56
Total moment, Bohr magnetons per cell: 0.0
Theoretical density, kg/m3: 3343


Computed, not measured: CaAs2F8 after structural relaxation at the PBE level of DFT.

The structure in CIF format:
```
data_CaAs2F8
_symmetry_space_group_name_H-M 'P 1'
_symmetry_Int_Tables_number 1
_symmetry_space_group_name_Hall 'P 1'
_cell_length_a 6.249
_cell_length_b 6.249
_cell_length_c 5.070
_cell_angle_alpha 98.05
_cell_angle_beta 98.05
_cell_angle_gamma 74.78
loop_
_atom_site_label
_atom_site_fract_x
_atom_site_fract_y
_atom_site_fract_z
Ca1 0.000 0.000 0.000
As1 0.287 0.287 0.483
As2 0.713 0.713 0.517
F1 0.010 0.343 0.278
F2 0.129 0.129 0.697
F3 0.343 0.010 0.278
F4 0.397 0.397 0.226
F5 0.603 0.603 0.774
F6 0.657 0.990 0.722
F7 0.871 0.871 0.303
F8 0.990 0.657 0.722
```

Properties
SG: C2/m, No. 12
Formation energy without anion corrections, eV/atom: -2.54
Raw total energy, eV/atom: -4.93
Total moment, Bohr magnetons per cell: 0.0
Theoretical density, kg/m3: 3019


Question: Which formula does entry 2 have?
Answer: Ca3As2F


Repeat the second record exactly.
Computed, not measured: Ca3As2F after structural relaxation at the PBE level of DFT.

The structure in CIF format:
```
data_Ca3As2F
_symmetry_space_group_name_H-M 'P 1'
_symmetry_Int_Tables_number 1
_symmetry_space_group_name_Hall 'P 1'
_cell_length_a 6.870
_cell_length_b 6.870
_cell_length_c 8.026
_cell_angle_alpha 98.56
_cell_angle_beta 98.56
_cell_angle_gamma 50.22
loop_
_atom_site_label
_atom_site_fract_x
_atom_site_fract_y
_atom_site_fract_z
Ca1 0.101 0.899 0.750
Ca2 0.236 0.435 0.328
Ca3 0.435 0.236 0.828
Ca4 0.565 0.764 0.172
Ca5 0.764 0.565 0.672
Ca6 0.899 0.101 0.250
As1 0.063 0.257 0.020
As2 0.257 0.063 0.520
As3 0.743 0.937 0.480
As4 0.937 0.743 0.980
F1 0.486 0.514 0.750
F2 0.514 0.486 0.250
```

Properties
SG: C2/c, No. 15
Polymorph energy (0 for the lowest one), eV/f.u.: 0.48
Formation energy without anion corrections, eV/atom: -1.70
Raw total energy, eV/atom: -4.56
Total moment, Bohr magnetons per cell: 0.0
Theoretical density, kg/m3: 3343


Question: Among the records above, which one has the lowest formation energy without anion corrections?
Answer: CaAs2F8


Question: Which formula does entry 1 have?
Answer: CaAsF2